P) A plane-wave DFT calculation with PBE was carried out for a relaxed LuSn2Ge crystal.

Properties
For the mass density, the calculation gives 8.50 Mg/m³. As for the space group: P4/mmm.

a = 4.7065 Å, b = 4.4879 Å, c = 4.4879 Å
α = 90.00°, β = 90.00°, γ = 90.00°
Sites, in units of the cell vectors:
Ge: 0.5000 0.0000 0.0000
Lu: 0.5000 0.5000 0.5000
Sn: 0.0000 0.0000 0.5000
Sn: 0.0000 0.5000 0.0000

Q) A plane-wave DFT calculation with PBE was carried out for a relaxed LuSn2Ge crystal.

Properties
For the mass density, the calculation gives 7.38 Mg/m³. As for the space group: R-3m.

a = 3.3661 Å, b = 3.3661 Å, c = 11.2872 Å
α = 81.42°, β = 81.42°, γ = 60.00°
Sites, in units of the cell vectors:
Ge: 0.5000 0.5000 0.5000
Lu: 0.0000 0.0000 0.0000
Sn: 0.0932 0.0932 0.7203
Sn: 0.9068 0.9068 0.2797

Verdict on stability: Q) comes out at the bottom.

P) A plane-wave DFT calculation with PBE was carried out for a relaxed LuTcGe crystal.

Properties
For the mass density, the calculation gives 10.51 Mg/m³. As for the space group: I4mm.

a = 3.3423 Å, b = 3.3423 Å, c = 5.4306 Å
α = 107.92°, β = 107.92°, γ = 90.00°
Sites, in units of the cell vectors:
Ge: 0.3042 0.3042 0.6085
Lu: 0.0029 0.0029 0.0059
Tc: 0.6928 0.6928 0.3857

Q) A plane-wave DFT calculation with PBE was carried out for a relaxed LuTcGe crystal.

Properties
For the mass density, the calculation gives 9.98 Mg/m³. As for the space group: P-6m2.

a = 3.5747 Å, b = 4.3090 Å, c = 4.3090 Å
α = 120.00°, β = 90.00°, γ = 90.00°
Sites, in units of the cell vectors:
Ge: 0.1666 0.0000 0.0000
Lu: 0.6666 0.6667 0.3333
Tc: 0.1667 0.3333 0.6667

Verdict on stability: Q) comes out at the bottom.

P) A plane-wave DFT calculation with PBE was carried out for a relaxed LuTcGe2 crystal.

Properties
For the mass density, the calculation gives 9.94 Mg/m³. As for the space group: P4/mmm.

a = 3.2168 Å, b = 3.2168 Å, c = 6.7547 Å
α = 90.00°, β = 90.00°, γ = 90.00°
Sites, in units of the cell vectors:
Ge: 0.0000 0.0000 0.7946
Ge: 0.0000 0.0000 0.2054
Lu: 0.5000 0.5000 0.5000
Tc: 0.5000 0.5000 0.0000

Q) A plane-wave DFT calculation with PBE was carried out for a relaxed LuTcGe2 crystal.

Properties
For the mass density, the calculation gives 10.14 Mg/m³. As for the space group: Fm-3m.

a = 4.5926 Å, b = 4.5926 Å, c = 4.5926 Å
α = 60.00°, β = 60.00°, γ = 60.00°
Sites, in units of the cell vectors:
Ge: 0.2500 0.2500 0.2500
Ge: 0.7500 0.7500 0.7500
Lu: 0.5000 0.5000 0.5000
Tc: 0.0000 0.0000 0.0000

Verdict on stability: Q) comes out at the bottom.

P) A plane-wave DFT calculation with PBE was carried out for a relaxed LuVGe2 crystal.

Properties
For the mass density, the calculation gives 8.69 Mg/m³. As for the space group: P4/mmm.

a = 3.3750 Å, b = 3.3750 Å, c = 6.2303 Å
α = 90.00°, β = 90.00°, γ = 90.00°
Site moments in Bohr magnetons follow the coordinates.
Sites, in units of the cell vectors:
Ge: 0.0000 0.0000 0.7944  0.01
Ge: 0.0000 0.0000 0.2056  0.01
Lu: 0.5000 0.5000 0.5000  -0.14
V: 0.5000 0.5000 0.0000  -0.80

Q) A plane-wave DFT calculation with PBE was carried out for a relaxed LuVGe2 crystal.

Properties
For the mass density, the calculation gives 8.26 Mg/m³. As for the space group: R-3m.

a = 4.1915 Å, b = 4.1915 Å, c = 5.4711 Å
α = 67.48°, β = 67.48°, γ = 60.00°
Site moments in Bohr magnetons follow the coordinates.
Sites, in units of the cell vectors:
Ge: 0.7707 0.7707 0.6880  -0.04
Ge: 0.2293 0.2293 0.3120  -0.04
Lu: 0.0000 0.0000 0.0000  -0.06
V: 0.5000 0.5000 0.5000  1.37

Verdict on stability: P) comes out at the bottom.

P) A plane-wave DFT calculation with PBE was carried out for a relaxed LuZn2Ge crystal.

Properties
For the mass density, the calculation gives 8.68 Mg/m³. As for the space group: P4/mmm.

a = 4.3878 Å, b = 4.0624 Å, c = 4.0624 Å
α = 90.00°, β = 90.00°, γ = 90.00°
Sites, in units of the cell vectors:
Ge: 0.5000 0.0000 0.0000
Lu: 0.5000 0.5000 0.5000
Zn: 0.0000 0.0000 0.5000
Zn: 0.0000 0.5000 0.0000

Q) A plane-wave DFT calculation with PBE was carried out for a relaxed LuZn2Ge crystal.

Properties
For the mass density, the calculation gives 7.39 Mg/m³. As for the space group: R-3m.

a = 3.1147 Å, b = 3.1147 Å, c = 10.2736 Å
α = 81.28°, β = 81.28°, γ = 60.00°
Sites, in units of the cell vectors:
Ge: 0.5000 0.5000 0.5000
Lu: 0.0000 0.0000 0.0000
Zn: 0.0958 0.0958 0.7126
Zn: 0.9042 0.9042 0.2874

Verdict on stability: Q) comes out at the bottom.

P) A plane-wave DFT calculation with PBE was carried out for a relaxed MgGeMo2 crystal.

Properties
For the mass density, the calculation gives 6.77 Mg/m³. As for the space group: I-42d.

a = 7.3734 Å, b = 7.3734 Å, c = 5.8285 Å
α = 50.76°, β = 50.76°, γ = 90.00°
Sites, in units of the cell vectors:
Mg: 0.5000 0.5000 0.0000
Mg: 0.2500 0.7500 0.5000
Mo: 0.6654 0.1250 0.2500
Mo: 0.0846 0.6250 0.2500
Mo: 0.3750 0.3346 0.7500
Mo: 0.8750 0.9154 0.7500
Ge: 0.0000 0.0000 0.0000
Ge: 0.7500 0.2500 0.5000

Q) A plane-wave DFT calculation with PBE was carried out for a relaxed MgGeMo2 crystal.

Properties
For the mass density, the calculation gives 7.60 Mg/m³. As for the space group: Fm-3m.

a = 4.4686 Å, b = 4.4686 Å, c = 4.4686 Å
α = 60.00°, β = 60.00°, γ = 60.00°
Sites, in units of the cell vectors:
Mg: 0.0000 0.0000 0.0000
Mo: 0.2500 0.2500 0.2500
Mo: 0.7500 0.7500 0.7500
Ge: 0.5000 0.5000 0.5000

Verdict on stability: P) comes out at the bottom.

P) A plane-wave DFT calculation with PBE was carried out for a relaxed MgGe2Mo2 crystal.

Properties
For the mass density, the calculation gives 6.29 Mg/m³. As for the space group: I4/mmm.

a = 4.7984 Å, b = 4.7984 Å, c = 5.3567 Å
α = 63.39°, β = 63.39°, γ = 90.00°
Sites, in units of the cell vectors:
Mg: 0.0000 0.0000 0.0000
Mo: 0.3627 0.3627 0.2745
Mo: 0.6373 0.6373 0.7255
Ge: 0.7500 0.2500 0.5000
Ge: 0.2500 0.7500 0.5000

Q) A plane-wave DFT calculation with PBE was carried out for a relaxed MgGe2Mo2 crystal.

Properties
For the mass density, the calculation gives 7.49 Mg/m³. As for the space group: P4/mbm.

a = 6.9086 Å, b = 6.9086 Å, c = 3.3585 Å
α = 90.00°, β = 90.00°, γ = 90.00°
Sites, in units of the cell vectors:
Mg: 0.0000 0.0000 0.0000
Mg: 0.5000 0.5000 0.0000
Mo: 0.1576 0.6576 0.5000
Mo: 0.6576 0.8424 0.5000
Mo: 0.8424 0.3424 0.5000
Mo: 0.3424 0.1576 0.5000
Ge: 0.3619 0.8619 0.0000
Ge: 0.8619 0.6381 0.0000
Ge: 0.6381 0.1381 0.0000
Ge: 0.1381 0.3619 0.0000

R) A plane-wave DFT calculation with PBE was carried out for a relaxed MgGe2Mo2 crystal.

Properties
For the mass density, the calculation gives 7.16 Mg/m³. As for the space group: P4/mbm.

a = 7.1718 Å, b = 7.1718 Å, c = 3.2586 Å
α = 90.00°, β = 90.00°, γ = 90.00°
Sites, in units of the cell vectors:
Mg: 0.0000 0.0000 0.0000
Mg: 0.5000 0.5000 0.0000
Mo: 0.3605 0.8605 0.0000
Mo: 0.8605 0.6395 0.0000
Mo: 0.6395 0.1395 0.0000
Mo: 0.1395 0.3605 0.0000
Ge: 0.1533 0.6533 0.5000
Ge: 0.6533 0.8467 0.5000
Ge: 0.8467 0.3467 0.5000
Ge: 0.3467 0.1533 0.5000

Verdict on stability: P) comes out at the bottom.